# 1
Density functional theory data (PBE) for a relaxed structure of Nd2Zn3Ni2.

Geometry as CIF:
```
data_Nd2Zn3Ni2
_chemical_formula_sum 'Nd2 Zn3 Ni2'
_space_group_name_H-M_alt 'P 1'
_space_group_IT_number 1
_space_group_name_Hall 'P 1'
_cell_length_a 5.371
_cell_length_b 5.371
_cell_length_c 6.379
_cell_angle_alpha 105.45
_cell_angle_beta 105.45
_cell_angle_gamma 48.29
loop_
_atom_site_label
_atom_site_type_symbol
_atom_site_fract_x
_atom_site_fract_y
_atom_site_fract_z
Nd1 Nd 0.117 0.117 0.350
Nd2 Nd 0.883 0.883 0.650
Zn1 Zn 0.215 0.215 0.882
Zn2 Zn 0.500 0.500 0.000
Zn3 Zn 0.785 0.785 0.118
Ni1 Ni 0.404 0.404 0.315
Ni2 Ni 0.596 0.596 0.685
```

Spin magnetization: 0.00 Bohr magnetons per cell
Fermi-level density of states: 6.13 states/eV/f.u.
Space group: C2/m
Energy of formation: -0.315 eV/atom
Volume: 18.769 A^3/atom
Energy above the most stable polymorph in this dataset: 62 meV/atom

***

# 2
Density functional theory data (PBE) for a relaxed structure of Nd2ZnNi7.

Geometry as CIF:
```
data_Nd2ZnNi7
_chemical_formula_sum 'Nd2 Zn1 Ni7'
_space_group_name_H-M_alt 'P 1'
_space_group_IT_number 1
_space_group_name_Hall 'P 1'
_cell_length_a 3.895
_cell_length_b 3.895
_cell_length_c 10.306
_cell_angle_alpha 90.00
_cell_angle_beta 90.00
_cell_angle_gamma 90.00
loop_
_atom_site_label
_atom_site_type_symbol
_atom_site_fract_x
_atom_site_fract_y
_atom_site_fract_z
Nd1 Nd 0.000 0.500 0.238
Nd2 Nd 0.500 0.000 0.762
Zn1 Zn 0.000 0.000 0.500
Ni1 Ni 0.000 0.000 0.000
Ni2 Ni 0.000 0.500 0.641
Ni3 Ni 0.000 0.500 0.865
Ni4 Ni 0.500 0.000 0.135
Ni5 Ni 0.500 0.000 0.359
Ni6 Ni 0.500 0.500 0.000
Ni7 Ni 0.500 0.500 0.500
```

Spin magnetization: 0.13 Bohr magnetons per cell
Fermi-level density of states: 14.52 states/eV/f.u.
Space group: P-4m2
Energy of formation: -0.195 eV/atom
Volume: 15.633 A^3/atom

***

# 3
Density functional theory data (PBE) for a relaxed structure of Nd3ZnNi3.

Geometry as CIF:
```
data_Nd3ZnNi3
_chemical_formula_sum 'Nd6 Zn2 Ni6'
_space_group_name_H-M_alt 'P 1'
_space_group_IT_number 1
_space_group_name_Hall 'P 1'
_cell_length_a 5.500
_cell_length_b 5.500
_cell_length_c 13.365
_cell_angle_alpha 90.00
_cell_angle_beta 90.00
_cell_angle_gamma 134.63
loop_
_atom_site_label
_atom_site_type_symbol
_atom_site_fract_x
_atom_site_fract_y
_atom_site_fract_z
Nd1 Nd 0.008 0.992 0.750
Nd2 Nd 0.290 0.710 0.604
Nd3 Nd 0.290 0.710 0.896
Nd4 Nd 0.710 0.290 0.104
Nd5 Nd 0.710 0.290 0.396
Nd6 Nd 0.992 0.008 0.250
Zn1 Zn 0.000 0.000 0.000
Zn2 Zn 0.000 0.000 0.500
Ni1 Ni 0.288 0.712 0.250
Ni2 Ni 0.422 0.578 0.088
Ni3 Ni 0.422 0.578 0.412
Ni4 Ni 0.578 0.422 0.588
Ni5 Ni 0.578 0.422 0.912
Ni6 Ni 0.712 0.288 0.750
```

Spin magnetization: 0.00 Bohr magnetons per cell
Fermi-level density of states: 5.52 states/eV/f.u.
Space group: Cmcm
Energy of formation: -0.349 eV/atom
Volume: 20.554 A^3/atom

***

no.,uncorrected energy (eV per atom)
1,-3.875
2,-5.322
3,-5.052